This record from Alexandria describes a relaxed structure of LaSi2Cl. The functional is PBE.

a b c (Å): 3.882 3.886 5.789
angles (deg): 90.00 90.00 90.00
Element x y z (fractional)
Cl1 0.500 0.000 0.500
Si1 0.000 0.000 0.000
Si2 0.500 0.500 0.000
La1 0.000 0.500 0.500

Results
Excess energy over the best structure of this formula in the dataset: 0.320 eV/atom
DOS(E_F): 1.009 states/eV per atom
Crystal system: tetragonal
Energy relative to the elements, uncorrected: -0.56 eV/atom

=====

This record from Alexandria describes a relaxed structure of LaSiCl2. The functional is PBE.

a b c (Å): 3.779 3.779 8.362
angles (deg): 90.00 90.00 105.35
Element x y z (fractional)
Cl1 0.500 0.500 0.321
Cl2 0.000 0.000 0.885
Si1 0.500 0.500 0.762
La1 0.000 0.000 0.531

Results
Excess energy over the best structure of this formula in the dataset: 0.312 eV/atom
DOS(E_F): 0.662 states/eV per atom
Crystal system: orthorhombic
Energy relative to the elements, uncorrected: -0.81 eV/atom

=====

This record from Alexandria describes a relaxed structure of LaSiCl2. The functional is PBE.

a b c (Å): 4.536 4.536 4.482
angles (deg): 90.00 90.00 90.00
Element x y z (fractional)
Cl1 0.000 0.000 0.000
Cl2 0.500 0.500 0.000
Si1 0.000 0.500 0.500
La1 0.500 0.000 0.500

Results
Excess energy over the best structure of this formula in the dataset: 0.218 eV/atom
DOS(E_F): 0.688 states/eV per atom
Crystal system: tetragonal
Energy relative to the elements, uncorrected: -0.90 eV/atom

=====

This record from Alexandria describes a relaxed structure of LaSiCl2. The functional is PBE.

a b c (Å): 4.648 5.887 4.641
angles (deg): 65.30 93.44 114.74
Element x y z (fractional)
Cl1 0.500 0.000 0.500
Cl2 0.000 0.000 0.000
Si1 0.500 0.500 0.000
La1 0.000 0.500 0.500

Results
Excess energy over the best structure of this formula in the dataset: 0.157 eV/atom
DOS(E_F): 0.662 states/eV per atom
Crystal system: orthorhombic
Energy relative to the elements, uncorrected: -0.97 eV/atom

=====

This record from Alexandria describes a relaxed structure of La3Si2Cl. The functional is PBE.

a b c (Å): 4.335 4.335 9.667
angles (deg): 102.96 102.96 90.00
Element x y z (fractional)
La1 0.500 0.500 0.000
La2 0.832 0.832 0.664
La3 0.168 0.168 0.336
Si1 0.660 0.660 0.321
Si2 0.340 0.340 0.679
Cl1 0.000 0.000 0.000

Results
DOS(E_F): 0.380 states/eV per atom
Crystal system: tetragonal
Energy relative to the elements, uncorrected: -1.00 eV/atom

=====

This record from Alexandria describes a relaxed structure of La3SiCl. The functional is PBE.

a b c (Å): 4.164 8.285 8.556
angles (deg): 98.66 90.00 90.00
Element x y z (fractional)
La1 0.750 0.616 0.382
La2 0.250 0.896 0.740
La3 0.750 0.104 0.260
La4 0.250 0.384 0.618
La5 0.250 0.686 0.039
La6 0.750 0.314 0.961
Si1 0.750 0.627 0.763
Si2 0.250 0.373 0.237
Cl1 0.750 0.123 0.624
Cl2 0.250 0.877 0.376

Results
Excess energy over the best structure of this formula in the dataset: 0.000 eV/atom
DOS(E_F): 1.037 states/eV per atom
Crystal system: monoclinic
Energy relative to the elements, uncorrected: -0.94 eV/atom